Computed, not measured: crystalline SrAc2Tm at its relaxed geometry at the GGA-PBE level of DFT.

Cell: 6.198 6.198 6.198 Å, 60.00 60.00 60.00°
Fractional coordinates of all 4 atoms:
Sr (0.500, 0.500, 0.500)
Ac (0.250, 0.250, 0.250)
Ac (0.750, 0.750, 0.750)
Tm (0.000, 0.000, 0.000)

Energy above the lowest structure with this stoichiometry = 0.075 eV per atom
Uncorrected energy = -3.45 eV/atom
Energy of formation from the pure elements = 0.15 eV per atom
N(E_F) = 5.048 states/eV/f.u.
SG = Fm-3m, No. 225